First-principles (GGA-PBE) data for Li6CeZn6 after structural relaxation, as listed in Alexandria via LeMat-Bulk.

Values from the calculation:
* VASP energy: -27.2 eV/f.u.
* DFT formation energy: -0.165 eV/atom

```
Li6CeZn6
1.0
-2.588 4.588 4.633
2.588 -4.588 4.633
2.588 4.588 -4.633
Li Ce Zn
6 1 6
Direct
0.144 0.500 0.644 Li
0.153 0.153 0.000 Li
0.289 0.000 0.289 Li
0.711 0.000 0.711 Li
0.847 0.847 0.000 Li
0.856 0.500 0.356 Li
0.500 0.500 0.000 Ce
0.000 0.000 0.500 Zn
0.000 0.500 0.000 Zn
0.288 0.788 0.500 Zn
0.500 0.000 0.000 Zn
0.500 0.500 0.500 Zn
0.712 0.212 0.500 Zn
```